Record 1
A relaxed structure of Sm2DyP3. Source: OQMD, functional PBE-GGA.

Values from the calculation:
The theoretical density is 6.4 Mg/m³.

Cell: 4.0740 4.0740 9.9696 Å, 90.00 90.00 120.00°
Space group P-3m1 (No. 164)
Asymmetric unit:
Sm  0.3333  0.6667  0.3309
Dy  0.0000  0.0000  0.0000
P  0.0000  0.0000  0.5000
P  0.3333  0.6667  0.8385

Record 2
A relaxed structure of TbDyZr2P2. Source: OQMD, functional PBE-GGA.

Values from the calculation:
The theoretical density is 7.5 Mg/m³.

Cell: 4.0201 4.0201 15.5511 Å, 90.00 90.00 90.00°
Space group I4mm (No. 107)
Asymmetric unit:
Tb  0.0000  0.0000  0.0000
Dy  0.0000  0.0000  0.3566
Zr  0.0000  0.5000  0.1786
P  0.0000  0.0000  0.5477
P  0.0000  0.0000  0.8093

Number 1: total DFT energy (no corrections) -39.77 eV for the cell shown. Number 2: total DFT energy (no corrections) -86.89 eV for the cell shown.